Below is an optimized crystal structure of Pu3Si2, with properties calculated at the GGA-PBEsol level.

calculated total energy	-11.426	eV/atom
calculated density	12.3	g cm⁻³
V	21.20	Å³/atom
ΔE_f (raw)	-0.035	eV per atom

Cell and atoms, written as CIF:
```
data_Pu3Si2
_chemical_formula_sum 'Pu6 Si4'
_symmetry_space_group_name_H-M 'P 4/m b m'
_symmetry_Int_Tables_number 127
_symmetry_space_group_name_Hall '-P 4 2ab'
_cell_length_a 7.2967
_cell_length_b 7.2967
_cell_length_c 3.9809
_cell_angle_alpha 90.00
_cell_angle_beta 90.00
_cell_angle_gamma 90.00
loop_
_atom_site_label
_atom_site_fract_x
_atom_site_fract_y
_atom_site_fract_z
_atom_site_occupancy
Pu1 0.0000 0.0000 0.0000 1
Pu2 0.1794 0.3206 0.5000 1
Si1 0.1147 0.6147 0.0000 1
```